First-principles (PBE-GGA) data for a geometry-optimized LaDy2Sc4 structure, as listed in Alexandria via LeMat-Bulk.

Lattice parameters (Å, degrees): 8.6868 9.3896 5.3527 106.48 107.97 79.90
Last column: nearest neighbours and their distance in Å.
Element x y z (fractional)
1 La 0.2288 0.8153 0.4163  5 Sc 3.21-3.39, 2 Dy 3.58-3.59
2 La 0.1248 0.0818 0.9961  4 Dy 3.47-3.60, 8 Sc 3.54-3.68, 2 La 3.64
3 Dy 0.6434 0.5838 0.5062  7 Sc 3.20-3.57
4 Dy 0.0332 0.3430 0.5801  6 Sc 3.13-3.42
5 Dy 0.7612 0.3193 0.9326  8 Sc 3.29-3.61, 4 Dy 3.51-3.65, 1 La 3.52
6 Dy 0.5031 0.8772 0.0837  5 Sc 3.16-3.48, 1 La 3.47
7 Sc 0.7412 0.9278 0.7277  4 Sc 3.07-3.21, 3 Dy 3.28-3.38
8 Sc 0.3928 0.4943 0.8356  6 Sc 3.19-3.46, 4 Dy 3.29-3.53
9 Sc 0.5055 0.2636 0.2771  4 Sc 3.08-3.23, 1 Dy 3.20
10 Sc 0.8468 0.0551 0.3436  4 Sc 3.07-3.23, 2 Dy 3.14-3.39
11 Sc 0.0486 0.6891 0.7628  6 Sc 3.13-3.43, 1 Dy 3.13, 2 La 3.31-3.32
12 Sc 0.8517 0.6980 0.1681  6 Sc 3.13-3.45, 3 Dy 3.16-3.40, 1 La 3.39
13 Sc 0.1676 0.4691 0.2101  2 Dy 3.15, 6 Sc 3.17-3.43, 1 La 3.21
14 Sc 0.4012 0.1327 0.6599  4 Sc 3.08-3.25, 1 La 3.31, 1 Dy 3.42

Values from the calculation:
Theoretical density (g/cm³): 5.4
Space group: P1
M_tot (μB per cell): 0.0
VASP energy (eV/atom): -5.5656